Entry from Alexandria via LeMat-Bulk: a relaxed structure of In3GaPd3 (PBE).

a = 5.5715 Å, b = 5.5715 Å, c = 5.5715 Å
α = 108.88°, β = 108.88°, γ = 108.88°
Closest atoms and distances in Å follow each position.
Positions (direct):
In 0.9998 0.5001 0.5001  6 Pd 2.79-2.87
In 0.5001 0.9998 0.5001  6 Pd 2.79-2.87
In 0.5001 0.5001 0.9998  6 Pd 2.79-2.87
Ga 0.0011 0.0011 0.0011  6 Pd 2.78-2.79
Pd 0.0001 0.0001 0.5001  2 Ga 2.78-2.79, 6 In 2.79-2.87
Pd 0.0001 0.5001 0.0001  2 Ga 2.78-2.79, 6 In 2.79-2.87
Pd 0.5001 0.0001 0.0001  2 Ga 2.78-2.79, 6 In 2.79-2.87

Its magnetic moment is 0.00 μB per formula unit. The value obtained for the energy above the lowest structure with this stoichiometry is 0.000 eV/atom. For the density of states at the Fermi level, the calculation gives 2.5 states/eV per cell. The value obtained for the calculated volume is 19.4 Å³/atom. As for the symmetry: R3m, No. 160.

---

Entry from Alexandria via LeMat-Bulk: a relaxed structure of In2Ga3Pd8 (PBE).

a = 7.1920 Å, b = 7.1920 Å, c = 4.4815 Å
α = 99.82°, β = 99.82°, γ = 78.35°
Closest atoms and distances in Å follow each position.
Positions (direct):
In 0.2055 0.2055 0.3515  8 Pd 2.62-2.86
In 0.7945 0.7945 0.6485  8 Pd 2.62-2.86
Ga 0.2490 0.7510 0.0000  8 Pd 2.62-2.71
Ga 0.5000 0.5000 0.5000  8 Pd 2.53-2.70
Ga 0.7510 0.2490 0.0000  8 Pd 2.62-2.71
Pd 0.0726 0.0726 0.7902  2 In 2.62-2.71, 2 Ga 2.64, 4 Pd 2.74-2.80
Pd 0.1396 0.5985 0.4404  3 Ga 2.53-2.71, 2 In 2.74-2.82, 1 Pd 2.80
Pd 0.3650 0.3650 0.9322  4 Ga 2.66-2.71, 2 In 2.81-2.86, 1 Pd 2.94
Pd 0.4015 0.8604 0.5596  3 Ga 2.53-2.71, 2 In 2.74-2.82, 1 Pd 2.80
Pd 0.5985 0.1396 0.4404  3 Ga 2.53-2.71, 2 In 2.74-2.82, 1 Pd 2.80
Pd 0.6350 0.6350 0.0678  4 Ga 2.66-2.71, 2 In 2.81-2.86, 1 Pd 2.94
Pd 0.8604 0.4015 0.5596  3 Ga 2.53-2.71, 2 In 2.74-2.82, 1 Pd 2.80
Pd 0.9274 0.9274 0.2098  2 In 2.62-2.71, 2 Ga 2.64, 4 Pd 2.74-2.80

Its magnetic moment is 0.00 μB per formula unit. For the total energy, the calculation gives -4.774 eV per atom. For the density of states at the Fermi level, the calculation gives 4.8 states/eV per cell. The value obtained for the calculated volume is 17.0 Å³/atom. As for the symmetry: C2/m, No. 12.

---

Entry from Alexandria via LeMat-Bulk: a relaxed structure of In3GaPd3 (PBE).

a = 6.2040 Å, b = 6.2040 Å, c = 7.4323 Å
α = 91.66°, β = 91.66°, γ = 108.46°
Closest atoms and distances in Å follow each position.
Positions (direct):
In 0.1641 0.8359 0.0000  6 Pd 2.71-2.81
In 0.2400 0.7600 0.5000  4 Pd 2.83-2.89, 2 Ga 3.00
In 0.3586 0.3586 0.1430  5 Pd 2.75-2.98, 1 Ga 2.92, 1 In 3.03
In 0.6414 0.6414 0.8570  5 Pd 2.75-2.98, 1 Ga 2.92, 1 In 3.03
In 0.7600 0.2400 0.5000  4 Pd 2.83-2.89, 2 Ga 3.00
In 0.8359 0.1641 0.0000  6 Pd 2.71-2.81
Ga 0.3014 0.3014 0.5298  4 Pd 2.52-2.73
Ga 0.6986 0.6986 0.4702  4 Pd 2.52-2.73
Pd 0.0264 0.0264 0.3059  2 Ga 2.53-2.73, 5 In 2.75-2.83
Pd 0.1579 0.4623 0.7998  1 Ga 2.52, 2 In 2.71-2.76
Pd 0.4623 0.1579 0.7998  1 Ga 2.52, 2 In 2.71-2.76
Pd 0.5377 0.8421 0.2002  1 Ga 2.52, 2 In 2.71-2.76
Pd 0.8421 0.5377 0.2002  1 Ga 2.52, 2 In 2.71-2.76
Pd 0.9736 0.9736 0.6941  2 Ga 2.53-2.73, 5 In 2.75-2.83

Its magnetic moment is 0.00 μB per formula unit. The value obtained for the energy above the lowest structure with this stoichiometry is 0.030 eV/atom. For the density of states at the Fermi level, the calculation gives 3.4 states/eV per cell. The value obtained for the calculated volume is 19.4 Å³/atom. As for the symmetry: C2/m, No. 12.

---

Entry from Alexandria via LeMat-Bulk: a relaxed structure of In2GaPd2 (PBE).

a = 4.1878 Å, b = 4.1878 Å, c = 12.3385 Å
α = 90.00°, β = 90.00°, γ = 90.00°
Closest atoms and distances in Å follow each position.
Positions (direct):
In 0.0000 0.5000 0.2500  4 Pd 2.73, 4 In 2.96
In 0.0000 0.5000 0.7500  4 Pd 2.73, 4 In 2.96
In 0.5000 0.0000 0.2500  4 Pd 2.73, 4 In 2.96
In 0.5000 0.0000 0.7500  4 Pd 2.73, 4 In 2.96
Ga 0.0000 0.0000 0.0000  8 Pd 3.24
Ga 0.5000 0.5000 0.5000  8 Pd 3.24
Pd 0.0000 0.0000 0.3926  1 Pd 2.65, 4 In 2.73
Pd 0.0000 0.0000 0.6074  1 Pd 2.65, 4 In 2.73
Pd 0.5000 0.5000 0.1074  1 Pd 2.65, 4 In 2.73
Pd 0.5000 0.5000 0.8926  1 Pd 2.65, 4 In 2.73

Its magnetic moment is 0.00 μB per formula unit. The value obtained for the energy above the lowest structure with this stoichiometry is 0.296 eV/atom. For the density of states at the Fermi level, the calculation gives 4.8 states/eV per cell. The value obtained for the calculated volume is 21.6 Å³/atom. As for the symmetry: I4/mmm, No. 139.

---

Entry from Alexandria via LeMat-Bulk: a relaxed structure of InGa2Pd (PBE).

a = 4.3846 Å, b = 4.3846 Å, c = 14.2256 Å
α = 90.00°, β = 90.00°, γ = 120.00°
Closest atoms and distances in Å follow each position.
Positions (direct):
In 0.0000 0.0000 0.0000  1 Pd 2.75, 7 Ga 2.91-3.08
In 0.3333 0.6667 0.6667  1 Pd 2.75, 7 Ga 2.91-3.08
In 0.6667 0.3333 0.3333  1 Pd 2.75, 7 Ga 2.91-3.08
Ga 0.0000 0.0000 0.5657  3 Pd 2.59
Ga 0.0000 0.0000 0.7837  3 Pd 2.76, 3 Ga 3.02, 4 In 3.03-3.08
Ga 0.3333 0.6667 0.2324  3 Pd 2.59
Ga 0.3333 0.6667 0.4503  3 Pd 2.76, 3 Ga 3.02, 4 In 3.03-3.08
Ga 0.6667 0.3333 0.1170  3 Pd 2.76, 3 Ga 3.02, 4 In 3.03-3.08
Ga 0.6667 0.3333 0.8991  3 Pd 2.59
Pd 0.0000 0.0000 0.1935  6 Ga 2.59-2.76, 1 In 2.75
Pd 0.3333 0.6667 0.8602  6 Ga 2.59-2.76, 1 In 2.75
Pd 0.6667 0.3333 0.5268  6 Ga 2.59-2.76, 1 In 2.75

Its magnetic moment is 0.00 μB per formula unit. For the total energy, the calculation gives -3.748 eV per atom. For the density of states at the Fermi level, the calculation gives 3.3 states/eV per cell. The value obtained for the calculated volume is 19.7 Å³/atom. As for the symmetry: R3m, No. 160.

---

Entry from Alexandria via LeMat-Bulk: a relaxed structure of InGa2Pd6 (PBE).

a = 8.2027 Å, b = 8.2027 Å, c = 4.2114 Å
α = 90.00°, β = 90.00°, γ = 90.00°
Closest atoms and distances in Å follow each position.
Positions (direct):
In 0.0000 0.0000 0.0000  8 Pd 2.66-2.70
In 0.5000 0.5000 0.5000  8 Pd 2.66-2.70
Ga 0.1992 0.1992 0.5000  10 Pd 2.62-2.83
Ga 0.3008 0.6992 0.0000  10 Pd 2.62-2.83
Ga 0.6992 0.3008 0.0000  10 Pd 2.62-2.83
Ga 0.8008 0.8008 0.5000  10 Pd 2.62-2.83
Pd 0.0168 0.3290 0.0000  3 Ga 2.62-2.79, 1 In 2.70, 8 Pd 2.82-2.91
Pd 0.1404 0.8596 0.5000  2 In 2.66, 4 Ga 2.81-2.83, 6 Pd 2.82-2.91
Pd 0.1710 0.5168 0.5000  3 Ga 2.62-2.79, 1 In 2.70, 8 Pd 2.82-2.91
Pd 0.3290 0.0168 0.0000  3 Ga 2.62-2.79, 1 In 2.70, 8 Pd 2.82-2.91
Pd 0.3596 0.3596 0.0000  2 In 2.66, 4 Ga 2.81-2.83, 6 Pd 2.82-2.91
Pd 0.4832 0.8290 0.5000  3 Ga 2.62-2.79, 1 In 2.70, 8 Pd 2.82-2.91
Pd 0.5168 0.1710 0.5000  3 Ga 2.62-2.79, 1 In 2.70, 8 Pd 2.82-2.91
Pd 0.6404 0.6404 0.0000  2 In 2.66, 4 Ga 2.81-2.83, 6 Pd 2.82-2.91
Pd 0.6710 0.9832 0.0000  3 Ga 2.62-2.79, 1 In 2.70, 8 Pd 2.82-2.91
Pd 0.8290 0.4832 0.5000  3 Ga 2.62-2.79, 1 In 2.70, 8 Pd 2.82-2.91
Pd 0.8596 0.1404 0.5000  2 In 2.66, 4 Ga 2.81-2.83, 6 Pd 2.82-2.91
Pd 0.9832 0.6710 0.0000  3 Ga 2.62-2.79, 1 In 2.70, 8 Pd 2.82-2.91

Its magnetic moment is 0.00 μB per formula unit. For the total energy, the calculation gives -4.923 eV per atom. For the density of states at the Fermi level, the calculation gives 5.3 states/eV per cell. The value obtained for the calculated volume is 15.7 Å³/atom. As for the symmetry: P4_2/mnm, No. 136.

---

Entry from Alexandria via LeMat-Bulk: a relaxed structure of In2Ga2Pd3 (PBE).

a = 4.2813 Å, b = 4.6733 Å, c = 7.1174 Å
α = 108.89°, β = 107.46°, γ = 90.20°
Closest atoms and distances in Å follow each position.
Positions (direct):
In 0.1182 0.1167 0.2364  6 Pd 2.78-2.81, 1 In 3.02
In 0.8818 0.8833 0.7636  6 Pd 2.78-2.81, 1 In 3.02
Ga 0.3797 0.3830 0.7593  5 Pd 2.62-2.92
Ga 0.6203 0.6170 0.2407  5 Pd 2.62-2.92
Pd 0.0000 0.5000 0.0000  4 Ga 2.63-2.64, 4 In 2.78
Pd 0.2388 0.7371 0.4778  3 Ga 2.62-2.92, 4 In 2.80-2.81
Pd 0.7612 0.2629 0.5222  3 Ga 2.62-2.92, 4 In 2.80-2.81

Its magnetic moment is 0.00 μB per formula unit. For the total energy, the calculation gives -4.338 eV per atom. For the density of states at the Fermi level, the calculation gives 3.2 states/eV per cell. The value obtained for the calculated volume is 18.2 Å³/atom. As for the symmetry: P-1, No. 2.

---

Entry from Alexandria via LeMat-Bulk: a relaxed structure of InGa2Pd (PBE).

a = 3.0744 Å, b = 3.0744 Å, c = 8.1081 Å
α = 90.00°, β = 90.00°, γ = 90.00°
Closest atoms and distances in Å follow each position.
Positions (direct):
In 0.0000 0.0000 0.0000  4 In 3.07, 8 Ga 3.28
Ga 0.5000 0.5000 0.3021  4 Pd 2.70
Ga 0.5000 0.5000 0.6979  4 Pd 2.70
Pd 0.0000 0.0000 0.5000  8 Ga 2.70

Its magnetic moment is 0.00 μB per formula unit. For the total energy, the calculation gives -3.717 eV per atom. For the density of states at the Fermi level, the calculation gives 2.5 states/eV per cell. The value obtained for the calculated volume is 19.2 Å³/atom. As for the symmetry: P4/mmm, No. 123.

---

Entry from Alexandria via LeMat-Bulk: a relaxed structure of InGaPd (PBE).

a = 3.0818 Å, b = 4.2367 Å, c = 4.7111 Å
α = 90.00°, β = 90.00°, γ = 90.00°
Closest atoms and distances in Å follow each position.
Positions (direct):
In 0.0000 0.0000 0.0000  4 Pd 2.81, 2 In 3.08
Ga 0.0000 0.5000 0.5000  4 Pd 2.62
Pd 0.5000 0.0000 0.5000  4 Ga 2.62, 4 In 2.81

Its magnetic moment is 0.00 μB per formula unit. For the total energy, the calculation gives -3.950 eV per atom. For the density of states at the Fermi level, the calculation gives 1.7 states/eV per cell. The value obtained for the calculated volume is 20.5 Å³/atom. As for the symmetry: Pmmm, No. 47.

---

Entry from Alexandria via LeMat-Bulk: a relaxed structure of InGa2Pd2 (PBE).

a = 7.6118 Å, b = 7.6118 Å, c = 2.9855 Å
α = 90.00°, β = 90.00°, γ = 90.00°
Closest atoms and distances in Å follow each position.
Positions (direct):
In 0.0000 0.0000 0.0000  4 Pd 2.93, 2 In 2.99, 8 Ga 3.25
In 0.5000 0.5000 0.0000  4 Pd 2.93, 2 In 2.99, 8 Ga 3.25
Ga 0.1530 0.3470 0.5000  6 Pd 2.67-2.70
Ga 0.3470 0.8470 0.5000  6 Pd 2.67-2.70
Ga 0.6530 0.1530 0.5000  6 Pd 2.67-2.70
Ga 0.8470 0.6530 0.5000  6 Pd 2.67-2.70
Pd 0.1419 0.6419 0.0000  6 Ga 2.67-2.70, 2 In 2.93
Pd 0.3581 0.1419 0.0000  6 Ga 2.67-2.70, 2 In 2.93
Pd 0.6419 0.8581 0.0000  6 Ga 2.67-2.70, 2 In 2.93
Pd 0.8581 0.3581 0.0000  6 Ga 2.67-2.70, 2 In 2.93

Its magnetic moment is 0.00 μB per formula unit. The value obtained for the energy above the lowest structure with this stoichiometry is 0.064 eV/atom. For the density of states at the Fermi level, the calculation gives 4.2 states/eV per cell. The value obtained for the calculated volume is 17.3 Å³/atom. As for the symmetry: P4/mbm, No. 127.

---

Entry from Alexandria via LeMat-Bulk: a relaxed structure of In2GaPd2 (PBE).

a = 6.9561 Å, b = 6.9561 Å, c = 3.9071 Å
α = 90.00°, β = 90.00°, γ = 90.00°
Closest atoms and distances in Å follow each position.
Positions (direct):
In 0.1545 0.3455 0.0000  6 Pd 2.73-2.89, 1 In 3.04
In 0.3455 0.8455 0.0000  6 Pd 2.73-2.89, 1 In 3.04
In 0.6545 0.1545 0.0000  6 Pd 2.73-2.89, 1 In 3.04
In 0.8455 0.6545 0.0000  6 Pd 2.73-2.89, 1 In 3.04
Ga 0.0000 0.0000 0.5000  4 Pd 2.64
Ga 0.5000 0.5000 0.5000  4 Pd 2.64
Pd 0.1512 0.6512 0.5000  2 Ga 2.64, 6 In 2.73-2.89
Pd 0.3488 0.1512 0.5000  2 Ga 2.64, 6 In 2.73-2.89
Pd 0.6512 0.8488 0.5000  2 Ga 2.64, 6 In 2.73-2.89
Pd 0.8488 0.3488 0.5000  2 Ga 2.64, 6 In 2.73-2.89

Its magnetic moment is 0.00 μB per formula unit. The value obtained for the energy above the lowest structure with this stoichiometry is 0.000 eV/atom. For the density of states at the Fermi level, the calculation gives 4.7 states/eV per cell. The value obtained for the calculated volume is 18.9 Å³/atom. As for the symmetry: P4/mbm, No. 127.

---

Entry from Alexandria via LeMat-Bulk: a relaxed structure of In2Ga2Pd (PBE).

a = 7.1645 Å, b = 7.1645 Å, c = 4.3008 Å
α = 90.00°, β = 90.00°, γ = 90.00°
Closest atoms and distances in Å follow each position.
Positions (direct):
In 0.1539 0.3461 0.0000  2 Pd 2.71, 2 Ga 2.88
In 0.3461 0.8461 0.0000  2 Pd 2.71, 2 Ga 2.88
In 0.6539 0.1539 0.0000  2 Pd 2.71, 2 Ga 2.88
In 0.8461 0.6539 0.0000  2 Pd 2.71, 2 Ga 2.88
Ga 0.1576 0.6576 0.5000  6 In 2.88-3.10, 1 Ga 3.19
Ga 0.3424 0.1576 0.5000  6 In 2.88-3.10, 1 Ga 3.19
Ga 0.6576 0.8424 0.5000  6 In 2.88-3.10, 1 Ga 3.19
Ga 0.8424 0.3424 0.5000  6 In 2.88-3.10, 1 Ga 3.19
Pd 0.0000 0.0000 0.0000  4 In 2.71
Pd 0.5000 0.5000 0.0000  4 In 2.71

Its magnetic moment is 0.00 μB per formula unit. The value obtained for the energy above the lowest structure with this stoichiometry is 0.142 eV/atom. For the density of states at the Fermi level, the calculation gives 4.0 states/eV per cell. The value obtained for the calculated volume is 22.1 Å³/atom. As for the symmetry: P4/mbm, No. 127.